DFT (PBE-GGA) results for a relaxed Ca2Be3H9 crystal.

Summary:
**Energy**: -97.29 eV/cell
**Size of the total moment**: 0.0 μB per formula unit

Cell lengths 5.9427, 5.9427, 8.9465 Å; angles 90.00, 90.00, 120.00 degrees
Space group P6_3/m (No. 176)
One atom of each set of equivalent atoms:
Ca: 0.3333 0.6667 0.0553 [4 per cell]
Be: 0.0428 0.7940 0.7500 [6 per cell]
H: 0.0615 0.7628 0.2500 [6 per cell]
H: 0.0630 0.6794 0.6128 [12 per cell]